(1)
VASP calculation (PBE-GGA) on Y2AgOs after structural relaxation.

The value obtained for the total DFT energy (no corrections) is -6.70 eV per atom. The magnetic moment comes out at 0.00 μB per atom. Its crystal system is monoclinic. Its formation energy is 0.202 eV per formula unit. As for the space group: C2/m (12). For the theoretical density, the calculation gives 7.672 g/cm3.

Cell lengths 4.0629, 4.0629, 7.5644 Å; angles 74.28, 74.28, 60.30 degrees
Fractional positions:
1 Y 0.9853 0.9853 0.0435
2 Y 0.5147 0.5147 0.4565
3 Os 0.2500 0.2500 0.2500
4 Ag 0.7500 0.7500 0.7500

(2)
VASP calculation (PBE-GGA) on HoLuCdCu after structural relaxation.

The value obtained for the total DFT energy (no corrections) is -3.77 eV per atom. The magnetic moment comes out at 0.00 μB per atom. Its crystal system is cubic. Its formation energy is -0.953 eV per formula unit. As for the space group: F-43m (216). For the theoretical density, the calculation gives 9.380 g/cm3.

Cell lengths 5.0547, 5.0547, 5.0547 Å; angles 60.00, 60.00, 60.00 degrees
Fractional positions:
1 Lu 0.0000 0.0000 0.0000
2 Cd 0.7500 0.7500 0.7500
3 Cu 0.2500 0.2500 0.2500
4 Ho 0.5000 0.5000 0.5000

(3)
VASP calculation (PBE-GGA) on TcMoHW2 after structural relaxation.

The value obtained for the total DFT energy (no corrections) is -9.86 eV per atom. The relative energy among the computed polymorphs is 0 meV per atom. The magnetic moment comes out at 0.00 μB per atom. Its crystal system is tetragonal. As for the space group: P4/mmm (123). For the theoretical density, the calculation gives 14.314 g/cm3.

Cell lengths 4.1034, 4.1034, 3.8764 Å; angles 90.00, 90.00, 90.00 degrees
Fractional positions:
1 W 0.0000 0.5000 0.0000
2 W 0.5000 0.0000 0.0000
3 Mo 0.5000 0.5000 0.5000
4 H 0.0000 0.0000 0.0000
5 Tc 0.0000 0.0000 0.5000

(4)
VASP calculation (PBE-GGA) on LiCa2LaAu4 after structural relaxation.

The value obtained for the total DFT energy (no corrections) is -3.70 eV per atom. The magnetic moment comes out at 0.00 μB per atom. Its crystal system is trigonal. Its formation energy is -5.629 eV per formula unit. As for the space group: R-3m (166). For the theoretical density, the calculation gives 8.921 g/cm3.

Cell lengths 5.1159, 5.1159, 8.8344 Å; angles 73.17, 73.17, 60.00 degrees
Fractional positions:
1 Ca 0.7584 0.7584 0.7248
2 Ca 0.2416 0.2416 0.2752
3 Au 0.8777 0.8777 0.3670
4 Au 0.1223 0.1223 0.6330
5 Au 0.3811 0.3811 0.8567
6 Au 0.6189 0.6189 0.1433
7 La 0.0000 0.0000 0.0000
8 Li 0.5000 0.5000 0.5000

(5)
VASP calculation (PBE-GGA) on FeMoIr4 after structural relaxation.

The value obtained for the total DFT energy (no corrections) is -9.23 eV per atom. The relative energy among the computed polymorphs is 0 meV per atom. The magnetic moment comes out at 0.32 μB per atom. Its crystal system is monoclinic. Its formation energy is -0.642 eV per formula unit. As for the space group: C2/m (12). For the theoretical density, the calculation gives 17.775 g/cm3.

Cell lengths 2.7277, 4.7478, 7.1868 Å; angles 96.91, 79.06, 73.31 degrees
Fractional positions:
1 Ir 0.3269 0.0099 0.3362
2 Ir 0.6731 0.9901 0.6638
3 Ir 0.8376 0.4957 0.8291
4 Ir 0.1624 0.5043 0.1709
5 Mo 0.0000 0.0000 0.0000
6 Fe 0.5000 0.5000 0.5000

(6)
VASP calculation (PBE-GGA) on Cs12KRb6 after structural relaxation.

The value obtained for the total DFT energy (no corrections) is -0.90 eV per atom. The relative energy among the computed polymorphs is 0 meV per atom. The magnetic moment comes out at 0.00 μB per atom. Its crystal system is trigonal. Its formation energy is 0.042 eV per formula unit. As for the space group: R-3 (148). For the theoretical density, the calculation gives 1.788 g/cm3.

Cell lengths 12.9861, 13.9999, 13.9999 Å; angles 69.11, 71.99, 108.01 degrees
Fractional positions:
1 Cs 0.2075 0.7354 0.1093
2 Cs 0.5280 0.8447 0.2646
3 Cs 0.1075 0.3680 0.0529
4 Cs 0.7925 0.2646 0.8907
5 Cs 0.2605 0.4209 0.6320
6 Cs 0.1604 0.0529 0.5791
7 Cs 0.7395 0.5791 0.3680
8 Cs 0.8396 0.9471 0.4209
9 Cs 0.3168 0.1093 0.1553
10 Cs 0.8925 0.6320 0.9471
11 Cs 0.6832 0.8907 0.8447
12 Cs 0.4720 0.1553 0.7354
13 Rb 0.6317 0.2122 0.3188
14 Rb 0.5805 0.5311 0.7878
15 Rb 0.0495 0.6812 0.5311
16 Rb 0.3683 0.7878 0.6812
17 Rb 0.9505 0.3188 0.4689
18 Rb 0.4195 0.4689 0.2122
19 K 0.0000 0.0000 0.0000

(7)
VASP calculation (PBE-GGA) on La2Fe3NiPt12 after structural relaxation.

The value obtained for the total DFT energy (no corrections) is -6.38 eV per atom. The magnetic moment comes out at 0.74 μB per atom. Its crystal system is trigonal. Its formation energy is -1.245 eV per formula unit. As for the space group: R-3m (166). For the theoretical density, the calculation gives 12.983 g/cm3.

Cell lengths 7.9322, 7.9322, 7.9322 Å; angles 61.38, 61.38, 61.38 degrees
Fractional positions:
1 Pt 0.3707 0.8744 0.8744
2 Pt 0.6260 0.1222 0.6260
3 Pt 0.8778 0.3740 0.3740
4 Pt 0.3740 0.8778 0.3740
5 Pt 0.1256 0.6293 0.1256
6 Pt 0.6293 0.1256 0.1256
7 Pt 0.8744 0.3707 0.8744
8 Pt 0.1256 0.1256 0.6293
9 Pt 0.3740 0.3740 0.8778
10 Pt 0.6260 0.6260 0.1222
11 Pt 0.1222 0.6260 0.6260
12 Pt 0.8744 0.8744 0.3707
13 La 0.3745 0.3745 0.3745
14 La 0.6255 0.6255 0.6255
15 Fe 0.5000 0.0000 0.0000
16 Fe 0.0000 0.0000 0.5000
17 Fe 0.0000 0.5000 0.0000
18 Ni 0.0000 0.0000 0.0000

(8)
VASP calculation (PBE-GGA) on AcAgSbAs after structural relaxation.

The value obtained for the total DFT energy (no corrections) is -4.29 eV per atom. The magnetic moment comes out at 0.00 μB per atom. Its crystal system is cubic. As for the space group: F-43m (216). For the theoretical density, the calculation gives 8.390 g/cm3.

Cell lengths 5.2988, 5.2988, 5.2988 Å; angles 60.00, 60.00, 60.00 degrees
Fractional positions:
1 Ac 0.0000 0.0000 0.0000
2 As 0.2500 0.2500 0.2500
3 Sb 0.5000 0.5000 0.5000
4 Ag 0.7500 0.7500 0.7500

(9)
VASP calculation (PBE-GGA) on RbIn2Pb after structural relaxation.

The value obtained for the total DFT energy (no corrections) is -2.64 eV per atom. The magnetic moment comes out at 0.00 μB per atom. Its crystal system is monoclinic. Its formation energy is -0.391 eV per formula unit. As for the space group: Cm (8). For the theoretical density, the calculation gives 6.167 g/cm3.

Cell lengths 5.0226, 7.1239, 8.4572 Å; angles 83.79, 90.00, 110.64 degrees
Fractional positions:
1 Rb 0.3458 0.6917 0.7700
2 Rb 0.4533 0.9065 0.3087
3 In 0.7366 0.4731 0.4877
4 In 0.6269 0.2537 0.8470
5 In 0.0141 0.0282 0.9831
6 In 0.7847 0.5695 0.0903
7 Pb 0.1726 0.3453 0.2297
8 Pb 0.0700 0.1400 0.6011

(10)
VASP calculation (PBE-GGA) on RuPt2Se after structural relaxation.

The value obtained for the total DFT energy (no corrections) is -5.97 eV per atom. The magnetic moment comes out at 0.00 μB per atom. Its crystal system is orthorhombic. As for the space group: Imm2 (44). For the theoretical density, the calculation gives 14.837 g/cm3.

Cell lengths 5.5134, 5.5134, 5.5134 Å; angles 149.95, 129.96, 59.48 degrees
Fractional positions:
1 Pt 0.2609 0.7609 0.5000
2 Pt 0.9874 0.9874 0.0000
3 Se 0.7297 0.2297 0.5000
4 Ru 0.5220 0.5220 0.0000

(11)
VASP calculation (PBE-GGA) on ZrPa3Te6 after structural relaxation.

The value obtained for the total DFT energy (no corrections) is -5.87 eV per atom. The magnetic moment comes out at 0.63 μB per atom. Its crystal system is orthorhombic. As for the space group: Cmmm (65). For the theoretical density, the calculation gives 6.990 g/cm3.

Cell lengths 4.2664, 9.5465, 9.5465 Å; angles 108.75, 90.00, 90.00 degrees
Fractional positions:
1 Te 0.0000 0.6672 0.8939
2 Te 0.0000 0.1061 0.3328
3 Te 0.5000 0.3574 0.6426
4 Te 0.0000 0.8939 0.6672
5 Te 0.5000 0.6426 0.3574
6 Te 0.0000 0.3328 0.1061
7 Pa 0.5000 0.0000 0.5000
8 Pa 0.0000 0.0000 0.0000
9 Pa 0.5000 0.5000 0.0000
10 Zr 0.0000 0.5000 0.5000